# BeGeBi2

Crystalline BeGeBi2 at its relaxed geometry (GGA-PBE, Alexandria).

Calculated values
For the formation energy, the calculation gives 24.7 kJ per mole of atoms. For the volume, the calculation gives 28.96 A^3/atom. As for the density of states at the Fermi level: 0.1 states/eV/f.u.

a b c (Å): 7.554 7.554 7.554
angles (deg): 132.24 132.24 69.85
Fractional positions:
Be  0.000  0.000  0.000
Be  0.750  0.250  0.500
Ge  0.250  0.750  0.500
Ge  0.500  0.500  0.000
Bi  0.090  0.625  0.965
Bi  0.375  0.340  0.465
Bi  0.660  0.125  0.035
Bi  0.875  0.910  0.535

***

# BeGeBi2

Crystalline BeGeBi2 at its relaxed geometry (GGA-PBE, Alexandria).

Calculated values
For the formation energy, the calculation gives 55.1 kJ per mole of atoms. For the volume, the calculation gives 23.66 A^3/atom. As for the density of states at the Fermi level: 2.6 states/eV/f.u.

a b c (Å): 5.115 5.115 5.115
angles (deg): 60.00 60.00 60.00
Fractional positions:
Be  0.000  0.000  0.000
Ge  0.500  0.500  0.500
Bi  0.250  0.250  0.250
Bi  0.750  0.750  0.750

***

# Li2BeGeBi

Crystalline Li2BeGeBi at its relaxed geometry (GGA-PBE, Alexandria).

Calculated values
For the formation energy, the calculation gives 56.8 kJ per mole of atoms. For the volume, the calculation gives 25.17 A^3/atom. As for the density of states at the Fermi level: 2.2 states/eV/f.u.

a b c (Å): 4.719 4.719 5.650
angles (deg): 90.00 90.00 90.00
Fractional positions:
Li  0.000  0.500  0.000
Li  0.500  0.000  0.000
Be  0.000  0.000  0.500
Ge  0.500  0.500  0.000
Bi  0.500  0.500  0.500

***

# BeNi2GeBi

Crystalline BeNi2GeBi at its relaxed geometry (GGA-PBE, Alexandria).

Calculated values
For the formation energy, the calculation gives 42.8 kJ per mole of atoms. For the volume, the calculation gives 17.15 A^3/atom. As for the density of states at the Fermi level: 3.4 states/eV/f.u.

a b c (Å): 4.525 4.525 4.188
angles (deg): 90.00 90.00 90.00
Fractional positions:
Be  0.000  0.000  0.000
Ni  0.000  0.500  0.500
Ni  0.500  0.000  0.500
Ge  0.000  0.000  0.500
Bi  0.500  0.500  0.000

***

# Be2GeBiO6

Crystalline Be2GeBiO6 at its relaxed geometry (GGA-PBE, Alexandria).

Calculated values
Its formation energy (no corrections) is -1.822 eV per atom. For the volume, the calculation gives 9.96 A^3/atom. As for the density of states at the Fermi level: 2.7 states/eV/f.u.

a b c (Å): 6.345 6.345 5.168
angles (deg): 101.66 101.66 83.94
Fractional positions:
Be  0.115  0.302  0.285
Be  0.302  0.115  0.785
Be  0.698  0.885  0.215
Be  0.885  0.698  0.715
Ge  0.406  0.594  0.750
Ge  0.594  0.406  0.250
Bi  0.167  0.833  0.250
Bi  0.833  0.167  0.750
O  0.117  0.172  0.524
O  0.131  0.607  0.834
O  0.172  0.117  0.024
O  0.307  0.476  0.375
O  0.393  0.869  0.666
O  0.476  0.307  0.875
O  0.524  0.693  0.125
O  0.607  0.131  0.334
O  0.693  0.524  0.625
O  0.828  0.883  0.976
O  0.869  0.393  0.166
O  0.883  0.828  0.476

***

# BeRe2GeBi

Crystalline BeRe2GeBi at its relaxed geometry (GGA-PBE, Alexandria).

Calculated values
For the formation energy, the calculation gives 130.2 kJ per mole of atoms. For the volume, the calculation gives 17.85 A^3/atom. As for the density of states at the Fermi level: 5.4 states/eV/f.u.

a b c (Å): 4.377 4.377 4.660
angles (deg): 90.00 90.00 90.00
Fractional positions:
Be  0.000  0.000  0.000
Re  0.000  0.500  0.000
Re  0.500  0.000  0.000
Ge  0.500  0.500  0.500
Bi  0.000  0.000  0.500

***

# ZrBe2GeBi

Crystalline ZrBe2GeBi at its relaxed geometry (GGA-PBE, Alexandria).

Calculated values
For the formation energy, the calculation gives 112.3 kJ per mole of atoms. For the volume, the calculation gives 23.19 A^3/atom. As for the density of states at the Fermi level: 3.8 states/eV/f.u.

a b c (Å): 4.444 4.444 5.871
angles (deg): 90.00 90.00 90.00
Fractional positions:
Zr  0.000  0.000  0.000
Be  0.000  0.500  0.500
Be  0.500  0.000  0.500
Ge  0.500  0.500  0.000
Bi  0.000  0.000  0.500

***

# ZrBe2GeBi

Crystalline ZrBe2GeBi at its relaxed geometry (GGA-PBE, Alexandria).

Calculated values
For the formation energy, the calculation gives 120.5 kJ per mole of atoms. For the volume, the calculation gives 25.84 A^3/atom. As for the density of states at the Fermi level: 2.6 states/eV/f.u.

a b c (Å): 4.818 4.818 5.565
angles (deg): 90.00 90.00 90.00
Fractional positions:
Zr  0.000  0.000  0.000
Be  0.000  0.500  0.000
Be  0.500  0.000  0.000
Ge  0.500  0.500  0.500
Bi  0.000  0.000  0.500

***

# BeBiH3

Crystalline BeBiH3 at its relaxed geometry (GGA-PBE, Alexandria).

Calculated values
The value obtained for the raw total energy is -2.8926 eV per atom. For the volume, the calculation gives 9.61 A^3/atom. As for the density of states at the Fermi level: 2.0 states/eV/f.u.

a b c (Å): 3.635 3.635 3.635
angles (deg): 90.00 90.00 90.00
Fractional positions:
Be  0.000  0.000  0.000
Bi  0.500  0.500  0.500
H  0.000  0.000  0.500
H  0.000  0.500  0.000
H  0.500  0.000  0.000

***

# Be2BiH6

Crystalline Be2BiH6 at its relaxed geometry (GGA-PBE, Alexandria).

Calculated values
The value obtained for the raw total energy is -2.3843 eV per atom. For the volume, the calculation gives 8.17 A^3/atom. As for the density of states at the Fermi level: 1.6 states/eV/f.u.

a b c (Å): 4.703 4.703 4.703
angles (deg): 60.00 60.00 60.00
Fractional positions:
Be  0.250  0.250  0.250
Be  0.750  0.750  0.750
Bi  0.000  0.000  0.000
H  0.350  0.350  0.650
H  0.350  0.650  0.350
H  0.350  0.650  0.650
H  0.650  0.350  0.350
H  0.650  0.350  0.650
H  0.650  0.650  0.350

***

# BeBiH3

Crystalline BeBiH3 at its relaxed geometry (GGA-PBE, Alexandria).

Calculated values
The value obtained for the raw total energy is -2.4726 eV per atom. For the volume, the calculation gives 15.03 A^3/atom. As for the density of states at the Fermi level: 0.9 states/eV/f.u.

a b c (Å): 4.220 4.220 4.220
angles (deg): 90.00 90.00 90.00
Fractional positions:
Be  0.000  0.000  0.000
Bi  0.500  0.500  0.500
H  0.000  0.500  0.500
H  0.500  0.000  0.500
H  0.500  0.500  0.000

***

# BeBiHI2

Crystalline BeBiHI2 at its relaxed geometry (GGA-PBE, Alexandria).

Calculated values
The value obtained for the raw total energy is -2.0419 eV per atom. For the volume, the calculation gives 40.28 A^3/atom. As for the density of states at the Fermi level: 1.7 states/eV/f.u.

a b c (Å): 6.228 6.228 5.192
angles (deg): 90.00 90.00 90.00
Fractional positions:
Be  0.000  0.000  0.000
Bi  0.000  0.000  0.500
H  0.500  0.500  0.000
I  0.000  0.500  0.500
I  0.500  0.000  0.500

***

# Be2BiHIr

Crystalline Be2BiHIr at its relaxed geometry (GGA-PBE, Alexandria).

Calculated values
The value obtained for the raw total energy is -2.6549 eV per atom. For the volume, the calculation gives 23.65 A^3/atom. As for the density of states at the Fermi level: 3.3 states/eV/f.u.

a b c (Å): 4.813 4.813 5.104
angles (deg): 90.00 90.00 90.00
Fractional positions:
Be  0.000  0.500  0.000
Be  0.500  0.000  0.000
Bi  0.000  0.000  0.000
H  0.500  0.500  0.500
Ir  0.000  0.000  0.500

***

# KBeBiH6

Crystalline KBeBiH6 at its relaxed geometry (GGA-PBE, Alexandria).

Calculated values
The value obtained for the raw total energy is -2.9893 eV per atom. For the volume, the calculation gives 14.28 A^3/atom.

a b c (Å): 5.235 5.235 5.415
angles (deg): 90.00 90.00 120.00
Fractional positions:
K  0.000  0.000  0.000
Be  0.667  0.333  0.500
Bi  0.333  0.667  0.500
H  0.418  0.073  0.677
H  0.418  0.345  0.323
H  0.655  0.073  0.323
H  0.655  0.582  0.677
H  0.927  0.345  0.677
H  0.927  0.582  0.323

***

# MnBe2BiH

Crystalline MnBe2BiH at its relaxed geometry (GGA-PBE, Alexandria).

Calculated values
The value obtained for the raw total energy is -3.4947 eV per atom. For the volume, the calculation gives 17.82 A^3/atom. As for the density of states at the Fermi level: 2.7 states/eV/f.u.

a b c (Å): 4.964 4.964 3.617
angles (deg): 90.00 90.00 90.00
Fractional positions:
Mn  0.000  0.000  0.000
Be  0.000  0.500  0.500
Be  0.500  0.000  0.500
Bi  0.500  0.500  0.500
H  0.500  0.500  0.000

***

# NaBeBi2H

Crystalline NaBeBi2H at its relaxed geometry (GGA-PBE, Alexandria).

Calculated values
The value obtained for the raw total energy is -2.7687 eV per atom. For the volume, the calculation gives 20.55 A^3/atom. As for the density of states at the Fermi level: 1.5 states/eV/f.u.

a b c (Å): 4.877 4.877 4.321
angles (deg): 90.00 90.00 90.00
Fractional positions:
Na  0.000  0.000  0.000
Be  0.500  0.500  0.000
Bi  0.000  0.500  0.500
Bi  0.500  0.000  0.500
H  0.000  0.000  0.500

***

# BeBi2HO

Crystalline BeBi2HO at its relaxed geometry (GGA-PBE, Alexandria).

Calculated values
The value obtained for the raw total energy is -3.5944 eV per atom. For the volume, the calculation gives 16.55 A^3/atom. As for the density of states at the Fermi level: 0.7 states/eV/f.u.

a b c (Å): 5.301 5.301 2.945
angles (deg): 90.00 90.00 90.00
Fractional positions:
Be  0.000  0.000  0.000
Bi  0.000  0.500  0.500
Bi  0.500  0.000  0.500
H  0.500  0.500  0.500
O  0.500  0.500  0.000

***

# BeBiPH

Crystalline BeBiPH at its relaxed geometry (GGA-PBE, Alexandria).

Calculated values
The value obtained for the raw total energy is -3.9865 eV per atom. For the volume, the calculation gives 19.05 A^3/atom. As for the density of states at the Fermi level: 0.7 states/eV/f.u.

a b c (Å): 3.584 3.584 6.850
angles (deg): 90.00 90.00 120.00
Fractional positions:
Be  0.000  0.000  0.000
Bi  0.333  0.667  0.615
P  0.333  0.667  0.049
H  0.333  0.667  0.274

***

# BeBiPH

Crystalline BeBiPH at its relaxed geometry (GGA-PBE, Alexandria).

Calculated values
The value obtained for the raw total energy is -3.6724 eV per atom. For the volume, the calculation gives 22.60 A^3/atom. As for the density of states at the Fermi level: 0.3 states/eV/f.u.

a b c (Å): 3.865 3.865 6.536
angles (deg): 105.50 105.50 89.98
Fractional positions:
Be  0.000  0.000  0.000
Bi  0.408  0.408  0.797
P  0.844  0.844  0.655
H  0.100  0.100  0.222

***

# BeBiPH

Crystalline BeBiPH at its relaxed geometry (GGA-PBE, Alexandria).

Calculated values
The value obtained for the raw total energy is -3.9746 eV per atom. For the volume, the calculation gives 17.66 A^3/atom. As for the density of states at the Fermi level: 0.7 states/eV/f.u.

a b c (Å): 3.562 3.568 6.647
angles (deg): 104.52 90.99 118.89
Fractional positions:
Be  0.000  0.000  0.000
Bi  0.808  0.689  0.500
P  0.676  0.368  0.045
H  0.756  0.082  0.832

***

# BeBiPH

Crystalline BeBiPH at its relaxed geometry (GGA-PBE, Alexandria).

Calculated values
The value obtained for the raw total energy is -3.8383 eV per atom. For the volume, the calculation gives 17.38 A^3/atom. As for the density of states at the Fermi level: 0.7 states/eV/f.u.

a b c (Å): 3.605 3.605 5.999
angles (deg): 81.50 82.05 64.81
Fractional positions:
Be  0.000  0.000  0.000
Bi  0.396  0.405  0.637
P  0.315  0.312  0.100
H  0.774  0.772  0.112

***

# BeBiPH

Crystalline BeBiPH at its relaxed geometry (GGA-PBE, Alexandria).

Calculated values
The value obtained for the raw total energy is -3.9149 eV per atom. For the volume, the calculation gives 17.66 A^3/atom. As for the density of states at the Fermi level: 1.2 states/eV/f.u.

a b c (Å): 3.742 3.743 6.201
angles (deg): 72.59 72.66 60.02
Fractional positions:
Be  0.000  0.000  0.000
Bi  0.182  0.180  0.464
P  0.332  0.332  0.004
H  0.516  0.524  0.451

***

# BeBiPH

Crystalline BeBiPH at its relaxed geometry (GGA-PBE, Alexandria).

Calculated values
The value obtained for the raw total energy is -4.0060 eV per atom. For the volume, the calculation gives 19.71 A^3/atom. As for the density of states at the Fermi level: 2.0 states/eV/f.u.

a b c (Å): 3.119 3.636 7.828
angles (deg): 84.79 78.95 64.82
Fractional positions:
Be  0.000  0.000  0.000
Bi  0.849  0.971  0.341
P  0.343  0.403  0.909
H  0.437  0.396  0.723

***

# BeBiPH

Crystalline BeBiPH at its relaxed geometry (GGA-PBE, Alexandria).

Calculated values
The value obtained for the raw total energy is -3.9232 eV per atom. For the volume, the calculation gives 17.16 A^3/atom. As for the density of states at the Fermi level: 0.6 states/eV/f.u.

a b c (Å): 6.029 6.029 6.029
angles (deg): 36.27 36.27 36.27
Fractional positions:
Be  0.000  0.000  0.000
Bi  0.490  0.490  0.490
P  0.331  0.331  0.331
H  0.819  0.819  0.819

***

# BeBiPH

Crystalline BeBiPH at its relaxed geometry (GGA-PBE, Alexandria).

Calculated values
The value obtained for the raw total energy is -3.8401 eV per atom. For the volume, the calculation gives 17.12 A^3/atom. As for the density of states at the Fermi level: 0.8 states/eV/f.u.

a b c (Å): 3.606 3.609 5.960
angles (deg): 89.00 89.39 61.99
Fractional positions:
Be  0.000  0.000  0.000
Bi  0.664  0.665  0.635
P  0.678  0.675  0.117
H  0.196  0.196  0.134

***

# BeBiPH

Crystalline BeBiPH at its relaxed geometry (GGA-PBE, Alexandria).

Calculated values
The value obtained for the raw total energy is -4.0130 eV per atom. For the volume, the calculation gives 19.67 A^3/atom. As for the density of states at the Fermi level: 0.5 states/eV/f.u.

a b c (Å): 5.520 5.520 4.507
angles (deg): 109.62 109.62 37.78
Fractional positions:
Be  0.000  0.000  0.000
Bi  0.128  0.128  0.611
P  0.390  0.390  0.988
H  0.355  0.355  0.267

***

# BeBiPH

Crystalline BeBiPH at its relaxed geometry (GGA-PBE, Alexandria).

Calculated values
The value obtained for the raw total energy is -3.9563 eV per atom. For the volume, the calculation gives 16.92 A^3/atom. As for the density of states at the Fermi level: 0.7 states/eV/f.u.

a b c (Å): 3.556 3.819 5.970
angles (deg): 107.24 90.01 117.67
Fractional positions:
Be  0.000  0.000  0.000
Bi  0.635  0.264  0.489
P  0.695  0.391  0.074
H  0.921  0.841  0.720